This record from Alexandria describes a relaxed structure of TlZnInNiPt. The functional is PBE.

a = 5.1929 Å, b = 5.1929 Å, c = 6.7351 Å
α = 117.70°, β = 117.70°, γ = 35.67°
Fractional positions:
Tl1 0.0000 0.0000 0.0000
Zn1 0.8598 0.8598 0.2946
In1 0.2198 0.2198 0.5402
Ni1 0.2557 0.2557 0.9657
Pt1 0.5295 0.5295 0.6406

The volume comes out at 92 Å³/cell. The calculation puts the mass density at 11.5 Mg/m³. For the calculated formation energy, the calculation gives -60 meV per atom. The value obtained for the total DFT energy (no corrections) is -3.700 eV/atom. The offset from the most stable computed form comes out at 116 meV/atom.